Density functional theory data (PBE-GGA) for a geometry-optimized ErMgPa2Ir4 structure.

Unit cell a=4.696 b=4.696 c=8.764 alpha=74.46 beta=74.46 gamma=60.00
Fractional coordinates of all 8 atoms:
Er 0.000 0.000 0.000
Mg 0.500 0.500 0.500
Pa 0.755 0.755 0.734
Pa 0.245 0.245 0.266
Ir 0.390 0.390 0.831
Ir 0.878 0.878 0.365
Ir 0.122 0.122 0.635
Ir 0.610 0.610 0.169

Results
energy of formation from the pure elements = -0.703 eV per atom
density of states at the Fermi level = 0.794 states/eV per atom
M_tot = 0.0 μB per cell
SG = R-3m
total DFT energy (no corrections) = -8.277 eV per atom
crystal system = trigonal

***

Density functional theory data (PBE-GGA) for a geometry-optimized ErMgScIr structure.

Unit cell a=4.860 b=4.860 c=4.860 alpha=60.00 beta=60.00 gamma=60.00
Fractional coordinates of all 4 atoms:
Sc 0.250 0.250 0.250
Mg 0.500 0.500 0.500
Ir 0.000 0.000 0.000
Er 0.750 0.750 0.750

Results
energy of formation from the pure elements = -0.504 eV per atom
density of states at the Fermi level = 0.546 states/eV per atom
M_tot = 0.0 μB per cell
SG = F-43m
total DFT energy (no corrections) = -5.842 eV per atom
crystal system = cubic

***

Density functional theory data (PBE-GGA) for a geometry-optimized ErMgSc2Ir4 structure.

Unit cell a=4.592 b=4.592 c=7.959 alpha=73.23 beta=73.23 gamma=60.00
Fractional coordinates of all 8 atoms:
Er 0.000 0.000 0.000
Mg 0.500 0.500 0.500
Sc 0.754 0.754 0.737
Sc 0.246 0.246 0.263
Ir 0.377 0.377 0.869
Ir 0.874 0.874 0.378
Ir 0.126 0.126 0.622
Ir 0.623 0.623 0.131

Results
energy of formation from the pure elements = -0.817 eV per atom
density of states at the Fermi level = 0.304 states/eV per atom
M_tot = 0.0 μB per cell
SG = R-3m
total DFT energy (no corrections) = -7.600 eV per atom
crystal system = trigonal

***

Density functional theory data (PBE-GGA) for a geometry-optimized Er2MgSi3Ir4 structure.

Unit cell a=4.070 b=4.070 c=10.385 alpha=90.00 beta=90.00 gamma=90.00
Fractional coordinates of all 10 atoms:
Er 0.500 0.000 0.242
Er 0.000 0.500 0.758
Mg 0.500 0.500 0.500
Si 0.000 0.000 0.500
Si 0.500 0.000 0.874
Si 0.000 0.500 0.126
Ir 0.500 0.500 0.000
Ir 0.000 0.000 0.000
Ir 0.500 0.000 0.647
Ir 0.000 0.500 0.353

Results
raw formation energy = -0.93 eV per atom
density of states at the Fermi level = 0.569 states/eV per atom
M_tot = 0.0 μB per cell
SG = P-4m2
total DFT energy (no corrections) = -7.175 eV per atom
crystal system = tetragonal

***

Density functional theory data (PBE-GGA) for a geometry-optimized Er2MgSi2Ir5 structure.

Unit cell a=3.467 b=9.774 c=9.774 alpha=90.00 beta=90.00 gamma=90.00
Fractional coordinates of all 20 atoms:
Er 0.000 0.675 0.175
Er 0.000 0.325 0.825
Er 0.000 0.175 0.325
Er 0.000 0.825 0.675
Mg 0.000 0.000 0.000
Mg 0.000 0.500 0.500
Si 0.000 0.125 0.625
Si 0.000 0.875 0.375
Si 0.000 0.625 0.875
Si 0.000 0.375 0.125
Ir 0.500 0.214 0.068
Ir 0.500 0.786 0.932
Ir 0.500 0.068 0.786
Ir 0.500 0.714 0.432
Ir 0.500 0.932 0.214
Ir 0.500 0.286 0.568
Ir 0.500 0.568 0.714
Ir 0.500 0.432 0.286
Ir 0.500 0.500 0.000
Ir 0.500 0.000 0.500

Results
raw formation energy = -0.85 eV per atom
density of states at the Fermi level = 0.268 states/eV per atom
M_tot = 0.0 μB per cell
SG = P4/mbm
total DFT energy (no corrections) = -7.435 eV per atom
crystal system = tetragonal

***

Density functional theory data (PBE-GGA) for a geometry-optimized SmErMgIr structure.

Unit cell a=5.058 b=5.058 c=5.058 alpha=60.00 beta=60.00 gamma=60.00
Fractional coordinates of all 4 atoms:
Mg 0.500 0.500 0.500
Ir 0.000 0.000 0.000
Sm 0.250 0.250 0.250
Er 0.750 0.750 0.750

Results
energy of formation from the pure elements = -0.417 eV per atom
density of states at the Fermi level = 0.600 states/eV per atom
M_tot = 0.0 μB per cell
SG = F-43m
total DFT energy (no corrections) = -5.352 eV per atom
crystal system = cubic

***

Density functional theory data (PBE-GGA) for a geometry-optimized ErMgSnIr structure.

Unit cell a=4.783 b=4.783 c=4.783 alpha=60.00 beta=60.00 gamma=60.00
Fractional coordinates of all 4 atoms:
Mg 0.250 0.250 0.250
Ir 0.750 0.750 0.750
Sn 0.500 0.500 0.500
Er 0.000 0.000 0.000

Results
energy of formation from the pure elements = -0.501 eV per atom
density of states at the Fermi level = 0.003 states/eV per atom
M_tot = 0.0 μB per cell
SG = F-43m
total DFT energy (no corrections) = -5.256 eV per atom
crystal system = cubic

***

Density functional theory data (PBE-GGA) for a geometry-optimized TbErMgIr structure.

Unit cell a=5.015 b=5.015 c=5.015 alpha=60.00 beta=60.00 gamma=60.00
Fractional coordinates of all 4 atoms:
Mg 0.750 0.750 0.750
Ir 0.250 0.250 0.250
Tb 0.500 0.500 0.500
Er 0.000 0.000 0.000

Results
energy of formation from the pure elements = -0.462 eV per atom
density of states at the Fermi level = 0.559 states/eV per atom
M_tot = 0.0 μB per cell
SG = F-43m
total DFT energy (no corrections) = -5.374 eV per atom
crystal system = cubic

***

Among the records above, which one has the lowest total DFT energy (no corrections)? ErMgPa2Ir4

***

density of states at the Fermi level of number 7 (ErMgSnIr)? 0.003 states/eV per atom

***

What is the formula in the seventh record? ErMgSnIr